1.
An optimized crystal structure of K4SiAs. Source: Alexandria, functional GGA-PBE.

ΔE_f (raw)	57.2	kJ/mol of atoms
space group	F-43m
mass density	2.06	g/cm3

extended XYZ file:
```
6
Lattice="0.0000 4.7116 4.7116 4.7116 0.0000 4.7116 4.7116 4.7116 0.0000" Properties=species:S:1:pos:R:3 pbc="T T T"
K 5.8941 5.8941 3.5292
K 5.8941 3.5292 5.8941
K 3.5292 3.5292 3.5292
As 0.0000 0.0000 0.0000
Si 7.0675 7.0675 7.0675
K 3.5292 5.8941 5.8941
```



2.
An optimized crystal structure of KSiAs2. Source: Alexandria, functional GGA-PBE.

ΔE_f (raw)	7.6	kJ/mol of atoms
space group	P4mm
mass density	3.71	g/cm3

extended XYZ file:
```
4
Lattice="3.7538 0.0000 0.0000 0.0000 3.7536 0.0000 0.0000 0.0000 6.8878" Properties=species:S:1:pos:R:3 pbc="T T T"
K 0.0000 0.0000 3.4484
As 1.8769 1.8768 1.1934
Si 1.8769 1.8768 5.7642
As 0.0000 0.0000 6.8135
```



3.
An optimized crystal structure of KSi2As. Source: Alexandria, functional GGA-PBE.

ΔE_f (raw)	31.9	kJ/mol of atoms
space group	Imm2
mass density	2.71	g/cm3

extended XYZ file:
```
4
Lattice="-4.2475 -4.0335 -1.0230 0.8044 -4.2545 4.0753 -1.4670 5.6857 -0.9368" Properties=species:S:1:pos:R:3 pbc="T T T"
As -1.9861 -4.7810 1.7608
Si -3.7189 -1.2481 -0.2160
Si -3.1795 -7.6537 2.8187
K -1.1901 -1.3517 2.3306
```



4.
An optimized crystal structure of KSiAs2. Source: Alexandria, functional GGA-PBE.

ΔE_f (raw)	39.0	kJ/mol of atoms
space group	I4/mmm
mass density	4.13	g/cm3

extended XYZ file:
```
4
Lattice="-2.1518 -4.9440 -0.0869 -0.6675 -1.6379 5.0944 -1.4892 4.5522 -2.4781" Properties=species:S:1:pos:R:3 pbc="T T T"
As -1.4097 -3.2910 2.5038
As 0.0000 0.0000 0.0000
K -1.7832 -0.1883 2.5601
Si -2.5254 -1.8414 -0.0306
```